## a
DFT (PBE-GGA) results for crystalline Li3Re at its relaxed geometry.

Lattice parameters (Å, degrees): 5.497 8.740 2.429 90.00 90.00 90.00
Space group Cmmm (No. 65)
Asymmetric unit:
Li1 0.000 0.000 0.000 x2
Li2 0.250 0.250 0.500 x4
Re1 0.000 0.500 0.000 x2

=====

## b
DFT (PBE-GGA) results for crystalline Li3Re at its relaxed geometry.

Lattice parameters (Å, degrees): 9.1063 9.1063 2.4241 90.00 90.00 120.00
Space group R-3m (No. 166, hexagonal axes)
Asymmetric unit:
Li1 0.0000 0.5000 0.0000 x9
Re1 0.0000 0.0000 0.0000 x3

=====

Energies, relative to the best one, in kJ/mol of atoms: a 2.7; b 0.0.

=====

## a
DFT (PBE-GGA) results for crystalline Li2ReRh at its relaxed geometry.

Lattice parameters (Å, degrees): 6.687 6.687 4.931 90.00 90.00 90.00
Space group I-42d (No. 122)
Asymmetric unit:
Li1 0.236 0.750 0.125 x8
Re1 0.000 0.000 0.500 x4
Rh1 0.000 0.000 0.000 x4

=====

## b
DFT (PBE-GGA) results for crystalline Li2ReRh at its relaxed geometry.

Lattice parameters (Å, degrees): 3.581 3.581 4.421 90.00 90.00 90.00
Space group P4/mmm (No. 123)
Asymmetric unit:
Li1 0.000 0.500 0.000 x2
Re1 0.000 0.000 0.500 x1
Rh1 0.500 0.500 0.500 x1

=====

Energies, relative to the best one, in kJ/mol of atoms: a 43.2; b 0.0.